1.
Density functional theory data (PBE-GGA) for a relaxed structure of La2Zn3.

Cell and atoms, written as CIF:
```
data_La2Zn3
_symmetry_space_group_name_H-M 'P -3 m 1'
_symmetry_Int_Tables_number 164
_symmetry_space_group_name_Hall '-P 3 2"'
_cell_length_a 5.0843
_cell_length_b 5.0843
_cell_length_c 6.4873
_cell_angle_alpha 90.00
_cell_angle_beta 90.00
_cell_angle_gamma 120.00
loop_
_atom_site_label
_atom_site_fract_x
_atom_site_fract_y
_atom_site_fract_z
La1 0.3333 0.6667 0.3080
Zn1 0.0000 0.0000 0.5000
Zn2 0.3333 0.6667 0.8306
```

Output
The value obtained for the calculated total energy is -2.754 eV per atom. The value obtained for the formation energy is -0.0190 eV/atom. Its density of states at the Fermi level is 5.530 states/eV/cell.

---

2.
Density functional theory data (PBE-GGA) for a relaxed structure of LaZn.

Cell and atoms, written as CIF:
```
data_LaZn
_symmetry_space_group_name_H-M 'P -3 m 1'
_symmetry_Int_Tables_number 164
_symmetry_space_group_name_Hall '-P 3 2"'
_cell_length_a 3.7569
_cell_length_b 3.7569
_cell_length_c 9.2391
_cell_angle_alpha 90.00
_cell_angle_beta 90.00
_cell_angle_gamma 120.00
loop_
_atom_site_label
_atom_site_fract_x
_atom_site_fract_y
_atom_site_fract_z
La1 0.3333 0.6667 0.3318
Zn1 0.3333 0.6667 0.9236
```

Output
The value obtained for the calculated total energy is -3.092 eV per atom. The value obtained for the formation energy is 0.0082 eV/atom. Its density of states at the Fermi level is 4.190 states/eV/cell.

---

3.
Density functional theory data (PBE-GGA) for a relaxed structure of LaZn.

Cell and atoms, written as CIF:
```
data_LaZn
_symmetry_space_group_name_H-M 'P m -3 n'
_symmetry_Int_Tables_number 223
_symmetry_space_group_name_Hall '-P 4n 2 3'
_cell_length_a 8.3600
_cell_length_b 8.3600
_cell_length_c 8.3600
_cell_angle_alpha 90.00
_cell_angle_beta 90.00
_cell_angle_gamma 90.00
loop_
_atom_site_label
_atom_site_fract_x
_atom_site_fract_y
_atom_site_fract_z
La1 0.0000 0.2500 0.5000
Zn1 0.0000 0.5000 0.2500
```

Output
The value obtained for the calculated total energy is -2.463 eV per atom. The value obtained for the formation energy is 0.6379 eV/atom. Its density of states at the Fermi level is 25.211 states/eV/cell.

---

4.
Density functional theory data (PBE-GGA) for a relaxed structure of La8Zn.

Cell and atoms, written as CIF:
```
data_La8Zn
_symmetry_space_group_name_H-M 'I 4/m m m'
_symmetry_Int_Tables_number 139
_symmetry_space_group_name_Hall '-I 4 2'
_cell_length_a 10.9182
_cell_length_b 10.9182
_cell_length_c 5.1208
_cell_angle_alpha 90.00
_cell_angle_beta 90.00
_cell_angle_gamma 90.00
loop_
_atom_site_label
_atom_site_fract_x
_atom_site_fract_y
_atom_site_fract_z
La1 0.0000 0.3172 0.0000
La2 0.1657 0.1657 0.5000
Zn1 0.0000 0.0000 0.0000
```

Output
The value obtained for the calculated total energy is -4.519 eV per atom. The value obtained for the formation energy is 0.0023 eV/atom. Its density of states at the Fermi level is 27.164 states/eV/cell.

---

5.
Density functional theory data (PBE-GGA) for a relaxed structure of LaZn13.

Cell and atoms, written as CIF:
```
data_LaZn13
_symmetry_space_group_name_H-M 'F m -3 c'
_symmetry_Int_Tables_number 226
_symmetry_space_group_name_Hall '-F 4a 2 3'
_cell_length_a 12.2153
_cell_length_b 12.2153
_cell_length_c 12.2153
_cell_angle_alpha 90.00
_cell_angle_beta 90.00
_cell_angle_gamma 90.00
loop_
_atom_site_label
_atom_site_fract_x
_atom_site_fract_y
_atom_site_fract_z
La1 0.2500 0.2500 0.2500
Zn1 0.0000 0.0000 0.0000
Zn2 0.0000 0.1214 0.1792
```

Output
The value obtained for the calculated total energy is -1.724 eV per atom. The value obtained for the formation energy is -0.1894 eV/atom. Its density of states at the Fermi level is 38.110 states/eV/cell.

---

6.
Density functional theory data (PBE-GGA) for a relaxed structure of LaZn.

Cell and atoms, written as CIF:
```
data_LaZn
_symmetry_space_group_name_H-M 'P 63/m m c'
_symmetry_Int_Tables_number 194
_symmetry_space_group_name_Hall '-P 6c 2c'
_cell_length_a 3.9180
_cell_length_b 3.9180
_cell_length_c 8.9514
_cell_angle_alpha 90.00
_cell_angle_beta 90.00
_cell_angle_gamma 120.00
loop_
_atom_site_label
_atom_site_fract_x
_atom_site_fract_y
_atom_site_fract_z
La1 0.0000 0.0000 0.0000
Zn1 0.3333 0.6667 0.2500
```

Output
The value obtained for the calculated total energy is -3.145 eV per atom. The value obtained for the formation energy is -0.0445 eV/atom. Its density of states at the Fermi level is 4.916 states/eV/cell.

---

7.
Density functional theory data (PBE-GGA) for a relaxed structure of La2Zn.

Cell and atoms, written as CIF:
```
data_La2Zn
_symmetry_space_group_name_H-M 'C m c 21'
_symmetry_Int_Tables_number 36
_symmetry_space_group_name_Hall 'C 2c -2'
_cell_length_a 3.9742
_cell_length_b 13.3958
_cell_length_c 7.1340
_cell_angle_alpha 90.00
_cell_angle_beta 90.00
_cell_angle_gamma 90.00
loop_
_atom_site_label
_atom_site_fract_x
_atom_site_fract_y
_atom_site_fract_z
La1 0.0000 0.0237 0.0000
La2 0.0000 0.2968 0.7899
Zn1 0.0000 0.3799 0.2211
```

Output
The value obtained for the calculated total energy is -3.848 eV per atom. The value obtained for the formation energy is -0.1379 eV/atom. Its density of states at the Fermi level is 16.134 states/eV/cell.

---

8.
Density functional theory data (PBE-GGA) for a relaxed structure of La5Zn.

Cell and atoms, written as CIF:
```
data_La5Zn
_symmetry_space_group_name_H-M 'P -6 2 m'
_symmetry_Int_Tables_number 189
_symmetry_space_group_name_Hall 'P -6 -2'
_cell_length_a 6.2749
_cell_length_b 6.2749
_cell_length_c 5.6714
_cell_angle_alpha 90.00
_cell_angle_beta 90.00
_cell_angle_gamma 120.00
loop_
_atom_site_label
_atom_site_fract_x
_atom_site_fract_y
_atom_site_fract_z
La1 0.0000 0.6943 0.0000
La2 0.3333 0.6667 0.5000
Zn1 0.0000 0.0000 0.5000
```

Output
The value obtained for the calculated total energy is -4.330 eV per atom. The value obtained for the formation energy is -0.0111 eV/atom. The value obtained for the energy above the most stable polymorph in this dataset is 93 meV per atom. Its density of states at the Fermi level is 8.952 states/eV/cell.

---

no.,magnetic moment (μB/f.u.)
1,0.00
2,0.00
3,0.01
4,0.00
5,0.00
6,0.00
7,0.00
8,0.00